A plane-wave DFT calculation with PBE-GGA was carried out for a relaxed structure of InHgPb5.

Geometry as extended XYZ:
```
7
Lattice="5.016 0.000 0.000 0.000 5.016 0.000 0.000 0.000 8.817" Properties=species:S:1:pos:R:3 pbc="T T T"
Pb 2.508 0.000 6.412
Pb 2.508 2.508 0.000
Pb 2.508 0.000 2.405
Pb 0.000 2.508 6.412
Pb 0.000 2.508 2.405
In 0.000 0.000 4.408
Hg 0.000 0.000 0.000
```

Output
The value obtained for the energy above the most stable polymorph in this dataset is 0.00 eV/f.u. The formation energy comes out at 0.38 eV/f.u.

A plane-wave DFT calculation with PBE-GGA was carried out for a relaxed structure of K2CuCl2F4.

Geometry as extended XYZ:
```
9
Lattice="-0.758 1.208 5.833 4.748 -3.549 -0.960 1.145 4.957 -3.190" Properties=species:S:1:pos:R:3 pbc="T T T"
F 4.033 -1.860 -1.403
F 1.861 3.269 -2.747
F 4.267 1.858 0.192
F 0.869 0.759 1.492
K 1.667 3.435 0.284
K 3.469 -0.818 1.399
Cu 0.000 0.000 0.000
Cl 3.786 0.905 -2.666
Cl 2.108 0.504 -1.484
```

Output
The calculation puts the uncorrected formation energy at -1703.8 meV per atom.

A plane-wave DFT calculation with PBE-GGA was carried out for a relaxed structure of LaSm2ErP4.

Geometry as extended XYZ:
```
8
Lattice="-2.438 2.181 -2.504 -0.573 -5.626 -4.344 -5.582 -3.963 1.983" Properties=species:S:1:pos:R:3 pbc="T T T"
Sm -4.010 -0.891 -0.261
Sm -5.582 -3.963 1.983
P -4.021 -0.235 -3.067
P -3.087 -4.134 -3.985
P -5.506 -3.273 -0.880
P -4.572 -7.172 -1.797
Er -3.077 -4.794 -1.181
La -1.506 -1.722 -3.424
```

Output
The formation energy comes out at -12.50 eV/f.u.

A plane-wave DFT calculation with PBE-GGA was carried out for a relaxed structure of KLiZnCl4.

Geometry as extended XYZ:
```
14
Lattice="6.313 0.000 0.162 0.000 7.092 0.000 -2.279 0.000 8.250" Properties=species:S:1:pos:R:3 pbc="T T T"
Cl -1.524 0.068 5.806
Cl -1.524 3.478 5.806
Cl 2.055 1.773 7.699
Cl 5.558 7.023 2.606
Cl 1.946 5.319 4.609
Cl 2.088 1.773 3.803
Cl 1.979 5.319 0.713
Cl 5.558 3.614 2.606
Li -0.295 1.773 4.135
Li 4.330 5.319 4.277
K 2.691 5.319 7.910
K 1.343 1.773 0.502
Zn 0.835 5.319 2.663
Zn 3.200 1.773 5.749
```

Output
The calculation puts the uncorrected formation energy at -1560.6 meV per atom.

A plane-wave DFT calculation with PBE-GGA was carried out for a relaxed structure of Ce3Pu2Ge.

Geometry as extended XYZ:
```
6
Lattice="-3.494 -0.479 -3.882 5.120 0.280 -1.100 0.425 -6.243 0.388" Properties=species:S:1:pos:R:3 pbc="T T T"
Ge 0.000 0.000 0.000
Ce -0.263 -5.509 -2.626
Ce 0.212 -3.121 0.194
Ce 2.314 -0.932 -1.968
Pu 2.506 -3.754 -1.792
Pu -0.455 -2.687 -2.802
```

Output
The formation energy comes out at -0.87 eV/f.u.

A plane-wave DFT calculation with PBE-GGA was carried out for a relaxed structure of Ce2SiGe4Pd3.

Geometry as extended XYZ:
```
10
Lattice="4.384 0.000 0.000 0.000 4.384 0.000 0.000 0.000 10.015" Properties=species:S:1:pos:R:3 pbc="T T T"
Ce 0.000 2.192 7.518
Ce 2.192 0.000 2.496
Ge 0.000 0.000 0.000
Ge 2.192 0.000 6.334
Ge 2.192 2.192 0.000
Ge 0.000 2.192 3.680
Pd 2.192 0.000 8.762
Pd 0.000 0.000 5.007
Pd 0.000 2.192 1.252
Si 2.192 2.192 5.007
```

Output
The calculation puts the uncorrected formation energy at -658.3 meV per atom.